[1]
This record from Alexandria describes an optimized crystal structure of Sm2HoThSb5. The functional is PBE-GGA.

Results
Its formation energy (no corrections) is -0.230 eV/atom.

Unit cell a=5.2305 b=5.2305 c=11.8475 alpha=90.00 beta=90.00 gamma=90.00
With the nearest neighbours (Å) after each atom.
Space group P4/mmm (No. 123)
Inequivalent atoms, fractional coordinates:
Sm 0.0000 0.0000 0.2148 (multiplicity 2)  9 Sb 3.38-3.72
Ho 0.5000 0.5000 0.0000 (multiplicity 1)  4 Sb 2.62
Th 0.5000 0.5000 0.5000 (multiplicity 1)  2 Sb 2.96
Sb 0.0000 0.0000 0.5000 (multiplicity 1)  2 Sm 3.38, 4 Th 3.70
Sb 0.0000 0.5000 0.0000 (multiplicity 2)  2 Ho 2.62
Sb 0.5000 0.5000 0.2504 (multiplicity 2)  1 Th 2.96, 1 Ho 2.97

=====

[2]
This record from Alexandria describes an optimized crystal structure of Sm2HoTmSb4. The functional is PBE-GGA.

Results
Its formation energy (no corrections) is -1.131 eV/atom.

Unit cell a=7.6385 b=4.4160 c=7.6434 alpha=90.00 beta=109.49 gamma=90.00
With the nearest neighbours (Å) after each atom.
Space group P2/m (No. 10)
Inequivalent atoms, fractional coordinates:
Sm 0.0000 0.0000 0.0000 (multiplicity 1)  6 Sb 3.15
Sm 0.0000 0.5000 0.5000 (multiplicity 1)  6 Sb 3.16
Ho 0.5000 0.0000 0.5000 (multiplicity 1)  6 Sb 3.09
Tm 0.5000 0.5000 0.0000 (multiplicity 1)  6 Sb 3.08
Sb 0.2584 0.0000 0.7538 (multiplicity 2)  2 Tm 3.08, 1 Ho 3.09, 3 Sm 3.15-3.16
Sb 0.2575 0.5000 0.2515 (multiplicity 2)  1 Tm 3.08, 2 Ho 3.09, 3 Sm 3.15-3.16

=====

[3]
This record from Alexandria describes an optimized crystal structure of SmHo2TmSb4. The functional is PBE-GGA.

Results
Its formation energy (no corrections) is -1.115 eV/atom.

Unit cell a=6.2026 b=6.2026 c=12.4090 alpha=90.00 beta=90.00 gamma=90.00
With the nearest neighbours (Å) after each atom.
Space group I4/mmm (No. 139)
Inequivalent atoms, fractional coordinates:
Sm 0.0000 0.0000 0.0000 (multiplicity 2)  6 Sb 3.10-3.14
Ho 0.0000 0.5000 0.2500 (multiplicity 4)  6 Sb 3.10
Tm 0.0000 0.0000 0.5000 (multiplicity 2)  6 Sb 3.06-3.10
Sb 0.0000 0.0000 0.2534 (multiplicity 4)  1 Tm 3.06, 4 Ho 3.10, 1 Sm 3.14
Sb 0.0000 0.5000 0.0000 (multiplicity 4)  2 Tm 3.10, 2 Sm 3.10, 2 Ho 3.10

=====

[4]
This record from Alexandria describes an optimized crystal structure of Sm2HoTm3Sb6. The functional is PBE-GGA.

Results
Its formation energy (no corrections) is -1.109 eV/atom.

Unit cell a=19.1160 b=4.3881 c=8.7720 alpha=90.00 beta=103.17 gamma=90.00
With the nearest neighbours (Å) after each atom.
Space group C2/m (No. 12)
Inequivalent atoms, fractional coordinates:
Sm 0.1661 0.0000 0.3328 (multiplicity 4)  6 Sb 3.14-3.15
Ho 0.0000 0.5000 0.0000 (multiplicity 2)  6 Sb 3.10-3.11
Tm 0.0000 0.5000 0.5000 (multiplicity 2)  6 Sb 3.07-3.09
Tm 0.1676 0.0000 0.8338 (multiplicity 4)  6 Sb 3.06-3.08
Sb 0.0026 0.0000 0.7499 (multiplicity 4)  3 Tm 3.07-3.09, 2 Ho 3.11, 1 Sm 3.14
Sb 0.1647 0.5000 0.5884 (multiplicity 4)  3 Tm 3.07, 3 Sm 3.14-3.15
Sb 0.1667 0.5000 0.0771 (multiplicity 4)  3 Tm 3.06-3.08, 1 Ho 3.10, 2 Sm 3.14

=====

[5]
This record from Alexandria describes an optimized crystal structure of Sm2Ho3TmSb6. The functional is PBE-GGA.

Results
Its formation energy (no corrections) is -1.124 eV/atom.

Unit cell a=19.1646 b=4.3983 c=8.7940 alpha=90.00 beta=103.23 gamma=90.00
With the nearest neighbours (Å) after each atom.
Space group C2/m (No. 12)
Inequivalent atoms, fractional coordinates:
Sm 0.1659 0.0000 0.3324 (multiplicity 4)  6 Sb 3.14-3.15
Ho 0.0000 0.5000 0.5000 (multiplicity 2)  6 Sb 3.08-3.12
Ho 0.1679 0.0000 0.8337 (multiplicity 4)  6 Sb 3.08-3.11
Tm 0.0000 0.5000 0.0000 (multiplicity 2)  6 Sb 3.09-3.10
Sb 0.0023 0.0000 0.7528 (multiplicity 4)  3 Ho 3.09-3.12, 2 Tm 3.10, 1 Sm 3.14
Sb 0.1653 0.5000 0.5870 (multiplicity 4)  3 Ho 3.08, 3 Sm 3.14-3.15
Sb 0.1656 0.5000 0.0778 (multiplicity 4)  3 Ho 3.08-3.11, 1 Tm 3.09, 2 Sm 3.14

=====

[6]
This record from Alexandria describes an optimized crystal structure of SmHo2Tm3Sb6. The functional is PBE-GGA.

Results
Its formation energy (no corrections) is -1.099 eV/atom.

Unit cell a=19.0444 b=4.3697 c=8.7386 alpha=90.00 beta=103.20 gamma=90.00
With the nearest neighbours (Å) after each atom.
Space group C2/m (No. 12)
Inequivalent atoms, fractional coordinates:
Sm 0.0000 0.0000 0.0000 (multiplicity 2)  6 Sb 3.13-3.14
Ho 0.1672 0.5000 0.3334 (multiplicity 4)  6 Sb 3.09-3.10
Tm 0.0000 0.0000 0.5000 (multiplicity 2)  6 Sb 3.05-3.08
Tm 0.1658 0.5000 0.8324 (multiplicity 4)  6 Sb 3.06-3.08
Sb 0.0000 0.5000 0.2562 (multiplicity 4)  3 Tm 3.05-3.07, 1 Ho 3.10, 2 Sm 3.13
Sb 0.1661 0.0000 0.5842 (multiplicity 4)  3 Tm 3.08, 3 Ho 3.09-3.10
Sb 0.1691 0.0000 0.0828 (multiplicity 4)  3 Tm 3.06-3.08, 2 Ho 3.10, 1 Sm 3.14

=====

[7]
This record from Alexandria describes an optimized crystal structure of Sm2HoUSb4. The functional is PBE-GGA.

Results
Its formation energy (no corrections) is -0.905 eV/atom.

Unit cell a=7.6461 b=4.4001 c=7.6858 alpha=90.00 beta=109.08 gamma=90.00
With the nearest neighbours (Å) after each atom.
Space group P2/m (No. 10)
Inequivalent atoms, fractional coordinates:
Sm 0.0000 0.0000 0.0000 (multiplicity 1)  6 Sb 3.15-3.16
Sm 0.0000 0.5000 0.5000 (multiplicity 1)  6 Sb 3.15-3.16
Ho 0.5000 0.0000 0.5000 (multiplicity 1)  6 Sb 3.09-3.10
U 0.5000 0.5000 0.0000 (multiplicity 1)  6 Sb 3.08-3.11
Sb 0.2557 0.0000 0.7507 (multiplicity 2)  1 Ho 3.09, 2 U 3.11, 3 Sm 3.15
Sb 0.2579 0.5000 0.2518 (multiplicity 2)  1 U 3.08, 2 Ho 3.10, 3 Sm 3.16

=====

[8]
This record from Alexandria describes an optimized crystal structure of Ho7Sn5Sb. The functional is PBE-GGA.

Results
Its formation energy (no corrections) is -0.499 eV/atom.

Unit cell a=6.1773 b=11.2346 c=10.5510 alpha=90.00 beta=90.00 gamma=90.00
With the nearest neighbours (Å) after each atom.
Space group Imm2 (No. 44)
Inequivalent atoms, fractional coordinates:
Ho 0.0000 0.0000 0.0000 (multiplicity 2)  1 Sb 3.28, 2 Ho 3.44, 4 Sn 3.47
Ho 0.0000 0.0000 0.4056 (multiplicity 2)  1 Sb 2.99, 6 Sn 3.13-3.28
Ho 0.0000 0.3311 0.6183 (multiplicity 4)  5 Sn 3.16-3.20, 1 Ho 3.35
Ho 0.0000 0.3385 0.1058 (multiplicity 4)  5 Sn 3.16-3.27, 1 Ho 3.21
Ho 0.0000 0.5000 0.3567 (multiplicity 2)  4 Sn 3.15, 6 Ho 3.21-3.44
Sn 0.0000 0.5000 0.8581 (multiplicity 2)  6 Ho 3.13-3.18, 4 Sn 3.26
Sn 0.2487 0.2551 0.3645 (multiplicity 8)  3 Sn 3.07-3.26, 6 Ho 3.15-3.28
Sb 0.0000 0.0000 0.6894 (multiplicity 2)  2 Ho 2.99-3.28

=====

[9]
This record from Alexandria describes an optimized crystal structure of Ho5SnSb4. The functional is PBE-GGA.

Results
Its formation energy (no corrections) is -0.985 eV/atom. For the energy above the most stable polymorph in this dataset, the calculation gives 0 meV per atom.

Unit cell a=14.5523 b=4.3437 c=10.7434 alpha=90.00 beta=119.68 gamma=90.00
With the nearest neighbours (Å) after each atom.
Space group C2/m (No. 12)
Inequivalent atoms, fractional coordinates:
Ho 0.0000 0.0000 0.0000 (multiplicity 2)  6 Sb 3.09
Ho 0.1010 0.5000 0.3981 (multiplicity 4)  4 Sb 3.07-3.10, 2 Sn 3.11
Ho 0.2001 0.0000 0.8009 (multiplicity 4)  5 Sb 3.08-3.09, 1 Sn 3.10
Sn 0.0000 0.0000 0.5000 (multiplicity 2)  6 Ho 3.10-3.11
Sb 0.1004 0.5000 0.9009 (multiplicity 4)  6 Ho 3.08-3.10
Sb 0.1999 0.0000 0.3000 (multiplicity 4)  6 Ho 3.07-3.10

=====

[10]
This record from Alexandria describes an optimized crystal structure of Ho6SnSb3. The functional is PBE-GGA.

Results
Its formation energy (no corrections) is -0.681 eV/atom.

Unit cell a=10.9611 b=14.8407 c=7.5465 alpha=90.00 beta=90.00 gamma=90.00
With the nearest neighbours (Å) after each atom.
Space group Cmc2_1 (No. 36)
Inequivalent atoms, fractional coordinates:
Ho 0.0000 0.0058 0.0000 (multiplicity 4)  4 Sb 3.07-3.21, 2 Sn 3.09-3.23
Ho 0.0000 0.2487 0.8713 (multiplicity 4)  1 Sn 3.08, 3 Sb 3.18-3.36
Ho 0.1766 0.4472 0.8868 (multiplicity 8)  4 Sb 3.00-3.12
Ho 0.1949 0.2753 0.4941 (multiplicity 8)  3 Sb 3.05-3.13, 1 Sn 3.22
Sn 0.0000 0.1706 0.2492 (multiplicity 4)  5 Ho 3.08-3.23
Sb 0.0000 0.4195 0.5786 (multiplicity 4)  7 Ho 3.05-3.36
Sb 0.1834 0.1006 0.7252 (multiplicity 8)  7 Ho 3.00-3.21